Record 1
A plane-wave DFT calculation with PBE with a Hubbard U was carried out for a relaxed structure of Ac2MoAsO6.

The value obtained for the raw total energy is -72.115 eV per formula unit.

The structure belongs to space group P4mm (No. 99); the cell edges are 5.934, 5.934 and 4.351 Å and the angles 90.00°, 90.00° and 90.00°. Symmetry generates all atoms from Ac at (0.000, 0.500, 0.000), Mo at (0.000, 0.000, 0.592), As at (0.500, 0.500, 0.573), O at (0.000, 0.000, 0.097), O at (0.250, 0.250, 0.646) and O at (0.500, 0.500, 0.157).


Record 2
A plane-wave DFT calculation with PBE with a Hubbard U was carried out for a relaxed structure of AcMoAs2O8.

The value obtained for the raw total energy is -80.518 eV per formula unit.

The structure belongs to space group I-4m2 (No. 119); the cell edges are 7.328, 7.328 and 6.587 Å and the angles 90.00°, 90.00° and 90.00°. Symmetry generates all atoms from Ac at (0.000, 0.000, 0.000), Mo at (0.000, 0.500, 0.250), As at (0.000, 0.000, 0.500), As at (0.000, 0.500, 0.750), O at (0.000, 0.186, 0.336) and O at (0.000, 0.328, 0.926).